Entry 1:
Entry from Alexandria: crystalline LiHg2S at its relaxed geometry (GGA-PBE).

a = 9.298 Å, b = 9.298 Å, c = 4.718 Å
α = 90.00°, β = 90.00°, γ = 90.00°
Fractional coordinates of all 16 atoms:
Li: 0.000 0.000 0.000
Li: 0.000 0.500 0.250
Li: 0.500 0.000 0.750
Li: 0.500 0.500 0.500
Hg: 0.167 0.250 0.625
Hg: 0.250 0.667 0.875
Hg: 0.250 0.833 0.375
Hg: 0.333 0.250 0.125
Hg: 0.667 0.750 0.125
Hg: 0.750 0.167 0.375
Hg: 0.750 0.333 0.875
Hg: 0.833 0.750 0.625
S: 0.000 0.000 0.500
S: 0.000 0.500 0.750
S: 0.500 0.000 0.250
S: 0.500 0.500 0.000

Values from the calculation:
calculated volume	25.5	A^3/atom
calculated total energy	-1.980	eV/atom
formation energy without anion corrections	-319	meV/atom

Entry 2:
Entry from Alexandria: crystalline LiHgS2 at its relaxed geometry (GGA-PBE).

a = 3.898 Å, b = 3.898 Å, c = 21.514 Å
α = 90.00°, β = 90.00°, γ = 120.00°
Fractional coordinates of all 12 atoms:
Li: 0.000 0.000 0.000
Li: 0.333 0.667 0.667
Li: 0.667 0.333 0.333
Hg: 0.000 0.000 0.500
Hg: 0.333 0.667 0.167
Hg: 0.667 0.333 0.833
S: 0.000 0.000 0.392
S: 0.000 0.000 0.608
S: 0.333 0.667 0.059
S: 0.333 0.667 0.275
S: 0.667 0.333 0.725
S: 0.667 0.333 0.941

Values from the calculation:
calculated volume	23.6	A^3/atom
calculated total energy	-2.884	eV/atom
formation energy without anion corrections	-267	meV/atom

Entry 3:
Entry from Alexandria: crystalline Li3HgS at its relaxed geometry (GGA-PBE).

a = 4.876 Å, b = 4.876 Å, c = 4.876 Å
α = 90.00°, β = 90.00°, γ = 90.00°
Fractional coordinates of all 5 atoms:
Li: 0.000 0.000 0.500
Li: 0.000 0.500 0.000
Li: 0.500 0.000 0.000
Hg: 0.000 0.000 0.000
S: 0.500 0.500 0.500

Values from the calculation:
calculated volume	23.2	A^3/atom
calculated total energy	-2.050	eV/atom
formation energy without anion corrections	-16	meV/atom

Entry 4:
Entry from Alexandria: crystalline LiHg3S at its relaxed geometry (GGA-PBE).

a = 5.106 Å, b = 5.106 Å, c = 5.106 Å
α = 90.00°, β = 90.00°, γ = 90.00°
Fractional coordinates of all 5 atoms:
Li: 0.000 0.000 0.000
Hg: 0.000 0.000 0.500
Hg: 0.000 0.500 0.000
Hg: 0.500 0.000 0.000
S: 0.500 0.500 0.500

Values from the calculation:
calculated volume	26.6	A^3/atom
calculated total energy	-1.126	eV/atom
formation energy without anion corrections	263	meV/atom

Entry 5:
Entry from Alexandria: crystalline LiHgS5 at its relaxed geometry (GGA-PBE).

a = 6.029 Å, b = 6.029 Å, c = 10.845 Å
α = 94.89°, β = 94.89°, γ = 114.67°
Fractional coordinates of all 14 atoms:
Li: 0.000 0.000 0.000
Li: 0.000 0.000 0.500
Hg: 0.088 0.912 0.750
Hg: 0.912 0.088 0.250
S: 0.237 0.735 0.452
S: 0.265 0.763 0.048
S: 0.270 0.516 0.568
S: 0.312 0.688 0.250
S: 0.484 0.730 0.932
S: 0.516 0.270 0.068
S: 0.688 0.312 0.750
S: 0.730 0.484 0.432
S: 0.735 0.237 0.952
S: 0.763 0.265 0.548

Values from the calculation:
calculated volume	25.3	A^3/atom
calculated total energy	-3.219	eV/atom
formation energy without anion corrections	46	meV/atom

Entry 6:
Entry from Alexandria: crystalline LiHg3S4 at its relaxed geometry (GGA-PBE).

a = 8.237 Å, b = 7.127 Å, c = 6.824 Å
α = 90.00°, β = 90.00°, γ = 90.00°
Fractional coordinates of all 16 atoms:
Li: 0.000 0.168 0.000
Li: 0.500 0.832 0.500
Hg: 0.000 0.834 0.499
Hg: 0.250 0.334 0.499
Hg: 0.250 0.666 0.999
Hg: 0.500 0.166 0.999
Hg: 0.750 0.334 0.499
Hg: 0.750 0.666 0.999
S: 0.000 0.168 0.642
S: 0.000 0.845 0.124
S: 0.242 0.327 0.124
S: 0.258 0.673 0.624
S: 0.500 0.155 0.624
S: 0.500 0.832 0.142
S: 0.742 0.673 0.624
S: 0.758 0.327 0.124

Values from the calculation:
calculated volume	25.0	A^3/atom
calculated total energy	-2.661	eV/atom
formation energy without anion corrections	-245	meV/atom

Entry 7:
Entry from Alexandria: crystalline LiHgS2 at its relaxed geometry (GGA-PBE).

a = 5.240 Å, b = 5.240 Å, c = 13.170 Å
α = 90.00°, β = 90.00°, γ = 90.00°
Fractional coordinates of all 16 atoms:
Li: 0.000 0.000 0.000
Li: 0.000 0.500 0.250
Li: 0.500 0.000 0.750
Li: 0.500 0.500 0.500
Hg: 0.000 0.000 0.500
Hg: 0.000 0.500 0.750
Hg: 0.500 0.000 0.250
Hg: 0.500 0.500 0.000
S: 0.224 0.250 0.125
S: 0.250 0.724 0.375
S: 0.250 0.776 0.875
S: 0.276 0.250 0.625
S: 0.724 0.750 0.625
S: 0.750 0.224 0.875
S: 0.750 0.276 0.375
S: 0.776 0.750 0.125

Values from the calculation:
calculated volume	22.6	A^3/atom
calculated total energy	-2.936	eV/atom
formation energy without anion corrections	-318	meV/atom

Entry 8:
Entry from Alexandria: crystalline LiHgS at its relaxed geometry (GGA-PBE).

a = 9.109 Å, b = 7.256 Å, c = 6.937 Å
α = 79.82°, β = 51.63°, γ = 48.55°
Fractional coordinates of all 12 atoms:
Li: 0.003 0.747 0.003
Li: 0.253 0.997 0.253
Li: 0.747 0.003 0.747
Li: 0.997 0.253 0.997
Hg: 0.000 0.500 0.500
Hg: 0.500 0.000 0.500
Hg: 0.500 0.500 0.000
Hg: 0.500 0.500 0.500
S: 0.024 0.024 0.726
S: 0.274 0.274 0.976
S: 0.726 0.726 0.024
S: 0.976 0.976 0.274

Values from the calculation:
calculated volume	20.6	A^3/atom
calculated total energy	-2.617	eV/atom
formation energy without anion corrections	-503	meV/atom